(1)
First-principles (GGA-PBE) data for an optimized crystal structure of Tl2ReTe, as listed in Alexandria.

- VASP energy: -4.065 eV per atom
- N(E_F): 3.0 states/eV/cell
- Formation energy from raw total energies: 1.016 eV/atom
- ΔE to the lowest computed polymorph: 609 meV per atom

abc: 3.6816 3.6816 6.8592
angles: 90.00 90.00 90.00
With the nearest neighbours (Å) after each atom.
Space group P4/mmm (No. 123)
Unique sites:
Tl (0.0000, 0.0000, 0.2143) [2 per cell]  1 Tl 2.94, 4 Re 2.99, 4 Te 3.26
Re (0.5000, 0.5000, 0.0000) [1 per cell]  8 Tl 2.99
Te (0.5000, 0.5000, 0.5000) [1 per cell]  8 Tl 3.26, 2 Re 3.43

---

(2)
First-principles (GGA-PBE) data for an optimized crystal structure of YGa2Pt4, as listed in Alexandria.

- VASP energy: -6.066 eV per atom
- N(E_F): 12.2 states/eV/cell
- ΔH_f (0 K): -0.8262 eV/atom
- ΔE to the lowest computed polymorph: 7 meV per atom

abc: 16.3038 4.2171 7.2051
angles: 90.00 90.00 90.00
With the nearest neighbours (Å) after each atom.
Space group Pnma (No. 62)
Unique sites:
Y (0.1476, 0.2500, 0.0653) [4 per cell]  10 Pt 2.91-3.20, 2 Ga 3.22
Ga (0.0229, 0.7500, 0.2492) [4 per cell]  7 Pt 2.55-2.66
Ga (0.1923, 0.2500, 0.6208) [4 per cell]  6 Pt 2.57-2.69
Pt (0.0444, 0.7500, 0.8977) [4 per cell]  3 Ga 2.56-2.60, 1 Pt 2.82
Pt (0.0550, 0.2500, 0.4445) [4 per cell]  4 Ga 2.55-2.59
Pt (0.1729, 0.7500, 0.3940) [4 per cell]  4 Ga 2.66-2.95, 4 Pt 2.85-2.88
Pt (0.2140, 0.7500, 0.8195) [4 per cell]  3 Ga 2.57-2.66, 3 Pt 2.82-2.85

---

(3)
First-principles (GGA-PBE) data for an optimized crystal structure of NbTc3Te, as listed in Alexandria.

- VASP energy: -7.150 eV per atom
- N(E_F): 4.2 states/eV/cell
- Formation energy from raw total energies: 1.712 eV/atom
- ΔE to the lowest computed polymorph: 30 meV per atom

abc: 4.7201 4.7201 4.7201
angles: 90.00 90.00 90.00
With the nearest neighbours (Å) after each atom.
Space group Pm-3m (No. 221)
Unique sites:
Nb (0.0000, 0.0000, 0.0000) [1 per cell]  12 Tc 3.34
Tc (0.0000, 0.5000, 0.5000) [3 per cell]  2 Te 2.36
Te (0.5000, 0.5000, 0.5000) [1 per cell]  6 Tc 2.36

---

(4)
First-principles (GGA-PBE) data for an optimized crystal structure of Sc4O, as listed in Alexandria.

- VASP energy: -7.163 eV per atom
- N(E_F): 8.5 states/eV/cell
- Formation energy from raw total energies: -1.106 eV/atom
- ΔE to the lowest computed polymorph: 51 meV per atom

abc: 4.5569 4.5569 4.5569
angles: 90.00 90.00 90.00
With the nearest neighbours (Å) after each atom.
Space group Pm-3m (No. 221)
Unique sites:
Sc (0.0000, 0.0000, 0.0000) [1 per cell]  12 Sc 3.22
Sc (0.0000, 0.5000, 0.5000) [3 per cell]  2 O 2.28
O (0.5000, 0.5000, 0.5000) [1 per cell]  6 Sc 2.28

---

(5)
First-principles (GGA-PBE) data for an optimized crystal structure of Li6PuN4, as listed in Alexandria.

- VASP energy: -5.912 eV per atom
- N(E_F): 11.8 states/eV/cell
- Formation energy from raw total energies: -0.538 eV/atom

abc: 7.2052 7.2052 4.7219
angles: 90.00 90.00 90.00
With the nearest neighbours (Å) after each atom.
Space group P4_2/nmc (No. 137, origin choice 2)
Unique sites:
Li (0.0358, 0.5358, 0.2500) [8 per cell]  4 N 2.21-2.24
Li (0.2500, 0.2500, 0.1550) [4 per cell]  4 N 2.06-2.11
Pu (0.2500, 0.7500, 0.7500) [2 per cell]  4 N 2.04
N (0.0114, 0.2500, 0.4135) [8 per cell]  1 Pu 2.04, 6 Li 2.06-2.24

---

(6)
First-principles (GGA-PBE) data for an optimized crystal structure of Zr2TiIr3, as listed in Alexandria.

- VASP energy: -9.416 eV per atom
- N(E_F): 16.8 states/eV/cell
- ΔH_f (0 K): -0.8202 eV/atom

abc: 4.3654 7.2025 12.8999
angles: 90.00 90.00 90.00
With the nearest neighbours (Å) after each atom.
Space group Imma (No. 74)
Unique sites:
Zr (0.0000, 0.2500, 0.0143) [4 per cell]  8 Ir 2.81-2.88, 2 Zr 3.02
Zr (0.0000, 0.2500, 0.3234) [4 per cell]  8 Ir 2.88-3.01, 4 Zr 2.89-3.02
Ti (0.0000, 0.2500, 0.6622) [4 per cell]  8 Ir 2.66-2.76
Ir (0.0000, 0.0000, 0.5000) [4 per cell]  2 Ti 2.76, 6 Zr 2.84-2.90
Ir (0.0000, 0.0378, 0.8312) [8 per cell]  3 Ti 2.66-2.67, 3 Zr 2.81-2.88